This record from the Alexandria database describes TlSn3N after structural relaxation. The functional is PBE.

Cell lengths 4.907, 4.907, 4.907 Å; angles 90.00, 90.00, 90.00 degrees
Positions (direct):
Tl 0.500 0.500 0.500
Sn 0.000 0.500 0.000
Sn 0.000 0.000 0.500
Sn 0.500 0.000 0.000
N 0.000 0.000 0.000

* DOS at the Fermi energy: 0.49 states/eV per atom
* uncorrected formation energy: 0.4613 eV/atom
* spin magnetization: 0.000 μB per atom
* ΔE to the lowest computed polymorph: 0.000 kcal/mol of atoms

=====

This record from the Alexandria database describes TlSnN2 after structural relaxation. The functional is PBE.

Cell lengths 5.337, 5.337, 6.290 Å; angles 64.90, 64.90, 90.00 degrees
Positions (direct):
Tl 0.000 0.000 0.000
Tl 0.750 0.250 0.500
Sn 0.500 0.500 0.000
Sn 0.250 0.750 0.500
N 0.575 0.125 0.250
N 0.175 0.625 0.250
N 0.375 0.425 0.750
N 0.875 0.825 0.750

* DOS at the Fermi energy: 0.33 states/eV per atom
* uncorrected formation energy: 0.5483 eV/atom
* spin magnetization: 0.000 μB per atom
* ΔE to the lowest computed polymorph: 8.360 kcal/mol of atoms

=====

This record from the Alexandria database describes TlSnN after structural relaxation. The functional is PBE.

Cell lengths 7.277, 6.504, 13.115 Å; angles 90.00, 154.45, 90.00 degrees
Positions (direct):
Tl 0.090 0.639 0.353
Tl 0.590 0.861 0.353
Tl 0.410 0.139 0.647
Tl 0.910 0.361 0.647
Sn 0.697 0.647 0.914
Sn 0.197 0.853 0.914
Sn 0.803 0.147 0.086
Sn 0.303 0.353 0.086
N 0.756 0.216 0.406
N 0.256 0.284 0.406
N 0.744 0.716 0.594
N 0.244 0.784 0.594

* DOS at the Fermi energy: 0.30 states/eV per atom
* uncorrected formation energy: 0.5976 eV/atom
* spin magnetization: 0.000 μB per atom
* ΔE to the lowest computed polymorph: 7.919 kcal/mol of atoms

=====

This record from the Alexandria database describes TlSnN after structural relaxation. The functional is PBE.

Cell lengths 6.088, 3.499, 22.649 Å; angles 112.59, 160.03, 73.26 degrees
Positions (direct):
N 0.845 0.593 0.906
N 0.155 0.407 0.094
Tl 0.824 0.741 0.364
Tl 0.176 0.259 0.636
Sn 0.521 0.795 0.922
Sn 0.479 0.205 0.078

* DOS at the Fermi energy: 0.12 states/eV per atom
* uncorrected formation energy: 0.2542 eV/atom
* spin magnetization: 0.000 μB per atom
* ΔE to the lowest computed polymorph: 0.000 kcal/mol of atoms

=====

This record from the Alexandria database describes Tl2SnN after structural relaxation. The functional is PBE.

Cell lengths 5.154, 5.154, 5.154 Å; angles 60.00, 60.00, 60.00 degrees
Positions (direct):
Tl 0.250 0.250 0.250
Tl 0.750 0.750 0.750
Sn 0.500 0.500 0.500
N 0.000 0.000 0.000

* DOS at the Fermi energy: 0.84 states/eV per atom
* uncorrected formation energy: 1.1047 eV/atom
* spin magnetization: 0.425 μB per atom
* ΔE to the lowest computed polymorph: 9.420 kcal/mol of atoms

=====

This record from the Alexandria database describes TlSnN2 after structural relaxation. The functional is PBE.

Cell lengths 7.689, 4.996, 9.947 Å; angles 75.62, 80.92, 50.48 degrees
Positions (direct):
Tl 0.250 0.675 0.651
Tl 0.750 0.325 0.349
Sn 0.000 0.500 0.500
Sn 0.500 0.000 0.500
N 0.752 0.908 0.959
N 0.248 0.092 0.041
N 0.749 0.133 0.960
N 0.251 0.867 0.040

* DOS at the Fermi energy: 0.22 states/eV per atom
* uncorrected formation energy: 0.1858 eV/atom
* spin magnetization: 0.000 μB per atom
* ΔE to the lowest computed polymorph: 0.000 kcal/mol of atoms

=====

This record from the Alexandria database describes TlSnN2 after structural relaxation. The functional is PBE.

Cell lengths 6.862, 6.862, 6.862 Å; angles 28.50, 28.50, 28.50 degrees
Positions (direct):
Tl 0.000 0.000 0.000
Sn 0.500 0.500 0.500
N 0.888 0.888 0.888
N 0.112 0.112 0.112

* DOS at the Fermi energy: 0.46 states/eV per atom
* uncorrected formation energy: 0.6189 eV/atom
* spin magnetization: 0.000 μB per atom
* ΔE to the lowest computed polymorph: 9.988 kcal/mol of atoms

=====

This record from the Alexandria database describes TlSnN3 after structural relaxation. The functional is PBE.

Cell lengths 4.274, 4.274, 4.274 Å; angles 90.00, 90.00, 90.00 degrees
Positions (direct):
Tl 0.500 0.500 0.500
Sn 0.000 0.000 0.000
N 0.000 0.500 0.000
N 0.000 0.000 0.500
N 0.500 0.000 0.000

* DOS at the Fermi energy: 0.30 states/eV per atom
* uncorrected formation energy: 1.5465 eV/atom
* spin magnetization: 0.800 μB per atom

=====

Q: Which value of uncorrected formation energy does entry 8 give?
A: 1.5465 eV/atom

=====

Q: What is the formula in the fifth record?
A: Tl2SnN